[1]
! Ce3Ga4Cu4, relaxed, DFT GGA-PBE; values from VASP
! Formation energy (meV/atom): -381
! Uncorrected energy (eV/atom): -4.589
! Space group: Immm, No. 71
&SYSTEM
  ibrav = 0, nat = 11, ntyp = 3
/
ATOMIC_SPECIES
Ce 140.12 Ce.upf
Ga 69.72 Ga.upf
Cu 63.55 Cu.upf
CELL_PARAMETERS angstrom
-2.182 3.347 7.120
2.182 -3.347 7.120
2.182 3.347 -7.120
ATOMIC_POSITIONS angstrom
Ce 0.000 0.000 0.000
Ce 2.182 0.000 5.231
Ce 0.000 3.347 1.889
Ga 0.000 0.000 3.105
Ga 2.182 2.087 0.000
Ga 0.000 1.260 7.120
Ga 0.000 0.000 11.135
Cu 2.182 1.251 -2.379
Cu 2.182 1.251 2.379
Cu 0.000 2.096 4.741
Cu 0.000 2.096 9.499

---

[2]
! La2YV, relaxed, DFT GGA-PBE; values from VASP
! Formation energy (meV/atom): 359
! Uncorrected energy (eV/atom): -6.001
! Space group: Fm-3m, No. 225
&SYSTEM
  ibrav = 0, nat = 4, ntyp = 3
/
ATOMIC_SPECIES
La 138.91 La.upf
Y 88.91 Y.upf
V 50.94 V.upf
CELL_PARAMETERS angstrom
0.000 3.927 3.927
3.927 0.000 3.927
3.927 3.927 0.000
ATOMIC_POSITIONS angstrom
La 1.963 1.963 1.963
La 5.890 5.890 5.890
Y 0.000 0.000 0.000
V 3.927 3.927 3.927